Entry 1:
BeCoCl4, optimized geometry, DFT GGA-PBE; ΔE_f (raw) = 1261 meV per atom; space-group type = F-43m; mass density = 2.47 g/cm3; magnetization = 5.0 μB per cell
1.0
-4.975 -0.950 2.916
-4.116 4.145 0.184
-5.008 -0.723 -2.924
Be Co Cl
1 1 4
Cartesian
0.000 0.000 0.000 Be
-3.525 0.618 0.044 Co
-6.310 1.905 1.567 Cl
-6.755 -0.522 0.018 Cl
-8.807 1.544 0.109 Cl
-6.327 2.018 -1.344 Cl


Entry 2:
MgAg, optimized geometry, DFT GGA-PBE; space-group type = P6_3/m; mass density = 5.23 g/cm3; magnetization = 0.0 μB per cell; ΔE_f = -0.1 eV/f.u.
1.0
-3.035 6.400 2.972
-4.277 -6.351 -0.617
1.440 -1.406 4.499
Mg Ag
6 6
Cartesian
-5.742 -1.637 2.676 Mg
-4.374 -0.513 5.289 Mg
-3.268 -4.876 0.871 Mg
-0.130 0.279 4.179 Mg
-1.498 -0.844 1.566 Mg
-2.604 3.519 5.983 Mg
-3.964 3.027 3.565 Ag
-4.356 -3.401 4.381 Ag
-3.787 0.324 2.663 Ag
-1.908 -4.385 3.290 Ag
-1.516 2.043 2.474 Ag
-2.085 -1.681 4.191 Ag


Entry 3:
Ta2AlAg, optimized geometry, DFT GGA-PBE; space-group type = Imm2; mass density = 11.84 g/cm3; magnetization = 0.0 μB per cell; ΔE_f = 0.5 eV/f.u.
1.0
-0.555 -5.115 1.950
4.554 -2.445 1.887
-3.607 4.131 0.448
Al Ag Ta
1 1 2
Cartesian
1.508 -1.112 2.160 Al
1.948 -3.683 1.869 Ag
0.014 -0.026 0.013 Ta
-1.078 -2.388 2.161 Ta


Entry 4:
La2YRu2, optimized geometry, DFT GGA-PBE; space-group type = P4/mbm; mass density = 7.56 g/cm3; magnetization = 0.0 μB per cell; ΔE_f = -0.8 eV/f.u.
1.0
7.590 0.000 0.000
0.000 7.590 0.000
0.000 0.000 4.340
Y Ru La
2 4 4
Cartesian
0.000 0.000 0.000 Y
3.795 3.795 0.000 Y
2.870 6.665 0.000 Ru
6.665 4.720 0.000 Ru
4.720 0.925 0.000 Ru
0.925 2.870 0.000 Ru
1.321 5.116 2.170 La
5.116 6.269 2.170 La
6.269 2.474 2.170 La
2.474 1.321 2.170 La


Which value of mass density does entry 3 give?
11.84 g/cm3


Please write out number 3 again, unchanged.
Ta2AlAg, optimized geometry, DFT GGA-PBE; space-group type = Imm2; mass density = 11.84 g/cm3; magnetization = 0.0 μB per cell; ΔE_f = 0.5 eV/f.u.
1.0
-0.555 -5.115 1.950
4.554 -2.445 1.887
-3.607 4.131 0.448
Al Ag Ta
1 1 2
Cartesian
1.508 -1.112 2.160 Al
1.948 -3.683 1.869 Ag
0.014 -0.026 0.013 Ta
-1.078 -2.388 2.161 Ta


Among the records above, which one has the highest mass density?
Ta2AlAg